! Rb4Pr3CrO8 PBE+U relaxed; values from VASP
&SYSTEM
  ibrav = 0, nat = 16, ntyp = 4
/
ATOMIC_SPECIES
O 16.00 O.upf
Rb 85.47 Rb.upf
Cr 52.00 Cr.upf
Pr 140.91 Pr.upf
ATOMIC_POSITIONS crystal
O 0.753 0.675 0.964
O 0.271 0.314 0.543
O 0.729 0.686 0.457
O 0.211 0.675 0.423
O 0.211 0.675 0.964
O 0.789 0.325 0.577
O 0.789 0.325 0.036
O 0.247 0.325 0.036
Rb 0.500 0.000 0.000
Rb 0.000 0.000 0.000
Rb 0.500 0.000 0.500
Rb 0.000 0.000 0.500
Cr 0.000 0.500 0.000
Pr 0.500 0.500 0.000
Pr 0.500 0.500 0.500
Pr 0.000 0.500 0.500
CELL_PARAMETERS angstrom
-5.294 2.267 4.243
-3.132 -7.102 -0.113
6.799 0.572 2.149
! **Fermi-level density of states**: 0.00 states/eV per cell
! **Space-group type**: R-3m
! **E_tot**: -100.938 eV for the cell shown